Entry from the Alexandria database: a geometry-optimized Nd8As3PS4 structure (PBE).

The value obtained for the total magnetization is 0.000 μB per formula unit. The calculation puts the uncorrected formation energy at -28.92 eV per formula unit. The value obtained for the total energy is -6.433 eV/atom.

The structure belongs to space group R-3m (No. 166, hexagonal axes); the cell edges are 8.3467, 8.3467 and 20.3279 Å and the angles 90.00°, 90.00° and 120.00°. The distinct sites, in fractional coordinates, are Nd at (0.0000, 0.0000, 0.2494), Nd at (0.0048, 0.5024, 0.7495), As at (0.0000, 0.5000, 0.0000), P at (0.0000, 0.0000, 0.0000), S at (0.0000, 0.0000, 0.5000) and S at (0.0000, 0.5000, 0.5000).